Entry from the Alexandria database: crystalline Ce2AlGa6Au at its relaxed geometry (GGA-PBE).

The structure in POSCAR format:
```
Ce2AlGa6Au
1.0
3.2233 1.8610 11.9508
-3.2233 1.8610 11.9508
0.0000 -3.7219 11.9508
Ce Al Ga Au
4 2 12 2
Direct
0.1145 0.1145 0.1145 Ce
0.2935 0.2935 0.2935 Ce
0.7065 0.7065 0.7065 Ce
0.8855 0.8855 0.8855 Ce
0.0000 0.0000 0.0000 Al
0.5000 0.5000 0.5000 Al
0.0525 0.6677 0.6677 Ga
0.2286 0.2286 0.6595 Ga
0.2286 0.6595 0.2286 Ga
0.3323 0.3323 0.9475 Ga
0.3323 0.9475 0.3323 Ga
0.3405 0.7714 0.7714 Ga
0.6595 0.2286 0.2286 Ga
0.6677 0.0525 0.6677 Ga
0.6677 0.6677 0.0525 Ga
0.7714 0.3405 0.7714 Ga
0.7714 0.7714 0.3405 Ga
0.9475 0.3323 0.3323 Ga
0.4298 0.4298 0.4298 Au
0.5702 0.5702 0.5702 Au
```

Results
M_tot, μB per formula unit: 1.64
Formation energy, eV/atom: -0.254
Crystal system: trigonal